# 1
Material: Zr2Se
Method: DFT, GGA-PBEsol
State: optimized geometry

Cell and atoms, written as extended XYZ:
```
36
Lattice="12.5372 0.0000 0.0000 0.0000 15.6228 0.0000 0.0000 0.0000 3.5990" Properties=species:S:1:pos:R:3 pbc="T T T"
Zr 0.4040 1.7239 0.0000
Zr 0.9794 11.6654 1.7995
Zr 1.0522 9.0699 0.0000
Zr 1.5411 6.6249 1.7995
Zr 1.8899 15.2612 1.7995
Zr 2.4815 3.1908 1.7995
Zr 3.7871 11.0022 0.0000
Zr 4.3787 7.4498 0.0000
Zr 4.7275 14.4363 0.0000
Zr 5.2164 1.2585 1.7995
Zr 5.2892 3.8540 0.0000
Zr 5.8646 9.5354 1.7995
Zr 6.6726 6.0875 1.7995
Zr 7.2480 11.7688 0.0000
Zr 7.3208 14.3644 1.7995
Zr 7.8097 1.1865 0.0000
Zr 8.1585 8.1730 0.0000
Zr 8.7501 4.6207 0.0000
Zr 10.0557 12.4321 1.7995
Zr 10.6473 0.3616 1.7995
Zr 10.9961 8.9979 1.7995
Zr 11.4850 6.5529 0.0000
Zr 11.5578 3.9574 1.7995
Zr 12.1332 13.8989 0.0000
Se 0.9797 4.5919 0.0000
Se 2.2948 13.2552 0.0000
Se 3.0776 9.0854 1.7995
Se 3.1910 1.2740 0.0000
Se 3.9738 5.4438 1.7995
Se 5.2889 12.4033 1.7995
Se 7.2483 3.2195 1.7995
Se 8.5634 10.1791 1.7995
Se 9.3462 14.3488 0.0000
Se 9.4596 6.5374 1.7995
Se 10.2424 2.3677 0.0000
Se 11.5575 11.0309 0.0000
```

Properties
Space-group type: Pnnm (58)



# 2
Material: Zr2Se
Method: DFT, GGA-PBEsol
State: optimized geometry

Cell and atoms, written as extended XYZ:
```
6
Lattice="-2.6695 2.6695 4.3976 2.6695 -2.6695 4.3976 2.6695 2.6695 -4.3976" Properties=species:S:1:pos:R:3 pbc="T T T"
Zr 2.6695 1.3347 -1.5958
Zr 0.0000 1.3347 0.6030
Zr 2.6695 1.3347 3.7946
Zr 0.0000 1.3347 5.9934
Se 2.6695 1.3347 1.0994
Se 0.0000 1.3347 3.2982
```

Properties
Space-group type: I4_1/amd (141)



# 3
Material: Zr2Se3
Method: DFT, GGA-PBEsol
State: optimized geometry

Cell and atoms, written as extended XYZ:
```
10
Lattice="0.0000 5.8118 3.7091 5.5012 0.0000 3.7091 5.5012 5.8118 0.0000" Properties=species:S:1:pos:R:3 pbc="T T T"
Zr 3.2819 1.3724 1.8545
Zr 6.0325 1.5336 3.7091
Zr 2.2193 4.4395 1.8545
Zr 4.9700 10.0901 3.7091
Se 4.6935 3.6050 2.5866
Se 9.0596 6.5109 4.4411
Se 6.3090 8.0186 2.5866
Se 5.5012 5.8118 5.1719
Se 1.9428 5.1127 4.4411
Se 8.2519 8.7177 7.0264
```

Properties
Space-group type: Fdd2 (43)



# 4
Material: Zr2Se3
Method: DFT, GGA-PBEsol
State: optimized geometry

Cell and atoms, written as extended XYZ:
```
10
Lattice="3.2068 -5.5572 0.0000 3.2068 5.5572 0.0000 -2.1506 0.0000 6.2181" Properties=species:S:1:pos:R:3 pbc="T T T"
Zr 0.0000 0.0000 0.0000
Zr 2.1316 3.6800 3.1091
Zr 2.1316 0.0000 3.1091
Zr 2.1316 -3.6800 3.1091
Se 1.1075 1.9183 1.4441
Se 0.0620 0.0000 4.7346
Se 1.1075 -1.9183 1.4441
Se 3.1557 1.9183 4.7740
Se 4.2011 0.0000 1.4835
Se 3.1557 -1.9183 4.7740
```

Properties
Space-group type: C2/m (12)



# 5
Material: ZrSe
Method: DFT, GGA-PBEsol
State: optimized geometry

Cell and atoms, written as extended XYZ:
```
2
Lattice="3.5299 0.0000 0.0000 -1.7649 3.0569 0.0000 0.0000 0.0000 3.6023" Properties=species:S:1:pos:R:3 pbc="T T T"
Zr 0.0000 0.0000 0.0000
Se 0.0000 2.0380 1.8011
```

Properties
Space-group type: P-6m2 (187)



# 6
Material: ZrSe
Method: DFT, GGA-PBEsol
State: optimized geometry

Cell and atoms, written as extended XYZ:
```
4
Lattice="-1.6506 2.2780 5.3996 1.6506 -2.2780 5.3996 1.6506 2.2780 -5.3996" Properties=species:S:1:pos:R:3 pbc="T T T"
Zr 0.0000 1.1390 1.1229
Zr 1.6506 1.1390 4.2767
Se 1.6506 1.1390 -1.1000
Se 0.0000 1.1390 6.4996
```

Properties
Space-group type: Imma (74)



# 7
Material: ZrSe3
Method: DFT, GGA-PBEsol
State: optimized geometry

Cell and atoms, written as extended XYZ:
```
4
Lattice="-2.0342 2.0342 4.6324 2.0342 -2.0342 4.6324 2.0342 2.0342 -4.6324" Properties=species:S:1:pos:R:3 pbc="T T T"
Zr 0.0000 0.0000 0.0000
Se 2.0342 0.0000 2.3162
Se 0.0000 0.0000 4.6324
Se 0.0000 2.0342 2.3162
```

Properties
Space-group type: I4/mmm (139)



# 8
Material: Zr4Se
Method: DFT, GGA-PBEsol
State: optimized geometry

Cell and atoms, written as extended XYZ:
```
5
Lattice="-1.8399 1.8399 8.3185 1.8399 -1.8399 8.3185 1.8399 1.8399 -8.3185" Properties=species:S:1:pos:R:3 pbc="T T T"
Zr 0.0000 0.0000 1.5305
Zr 1.8399 0.0000 4.1592
Zr 0.0000 1.8399 4.1592
Zr 0.0000 0.0000 15.1064
Se 0.0000 0.0000 8.3185
```

Properties
Space-group type: I4/mmm (139)



# 9
Material: ZrSe3
Method: DFT, GGA-PBEsol
State: optimized geometry

Cell and atoms, written as extended XYZ:
```
4
Lattice="3.8145 0.0000 0.0000 -1.9073 3.3035 0.0000 0.0000 0.0000 7.0058" Properties=species:S:1:pos:R:3 pbc="T T T"
Zr 0.0000 0.0000 0.0000
Se 0.0000 0.0000 3.5029
Se 1.9073 1.1012 1.5376
Se 1.9073 1.1012 5.4683
```

Properties
Space-group type: P-6m2 (187)



# 10
Material: Si
Method: DFT, GGA-PBEsol
State: optimized geometry

Cell and atoms, written as extended XYZ:
```
8
Lattice="6.9008 -1.9200 0.0000 6.9008 1.9200 0.0000 -0.7445 0.0000 6.2835" Properties=species:S:1:pos:R:3 pbc="T T T"
Si 0.4849 0.0000 2.3458
Si 2.5185 0.0000 3.5003
Si 3.0869 0.0000 5.7451
Si 5.4560 0.0000 5.3202
Si 7.6010 0.0000 0.9633
Si 9.9701 0.0000 0.5384
Si 10.5385 0.0000 2.7832
Si 12.5721 0.0000 3.9377
```

Properties
Space-group type: C2/m (12)
Energy above the most stable polymorph in this dataset in kJ/mol of formula units: 7



# 11
Material: Si
Method: DFT, GGA-PBEsol
State: optimized geometry

Cell and atoms, written as extended XYZ:
```
46
Lattice="8.3639 -6.3900 0.0000 8.3639 6.3900 0.0000 0.0000 0.0000 9.9658" Properties=species:S:1:pos:R:3 pbc="T T T"
Si 2.9462 1.5915 6.2488
Si 2.9462 1.5915 8.6999
Si 8.3639 5.3918 6.2901
Si 8.3639 5.3918 8.6586
Si 1.6955 0.0000 0.0000
Si 1.6955 0.0000 4.9829
Si 6.3699 2.7194 0.5900
Si 6.3699 2.7194 4.3929
Si 5.1443 1.0452 5.5692
Si 5.1443 1.0452 9.3795
Si 8.3639 3.1780 5.5783
Si 8.3639 3.1780 9.3704
Si 2.9462 -1.5915 1.2659
Si 2.9462 -1.5915 3.7170
Si 7.1809 1.6344 2.4914
Si 6.4235 0.5757 7.4743
Si 8.3639 1.8480 7.4743
Si 5.1443 -1.0452 0.5863
Si 5.1443 -1.0452 4.3966
Si 10.3580 2.7194 0.5900
Si 10.3580 2.7194 4.3929
Si 6.4235 -0.5757 2.4914
Si 9.5469 1.6344 2.4914
Si 7.1809 -1.6344 7.4743
Si 10.3044 0.5757 7.4743
Si 6.3699 -2.7194 5.5729
Si 6.3699 -2.7194 9.3758
Si 11.5836 1.0452 5.5692
Si 11.5836 1.0452 9.3795
Si 8.3639 -1.8480 2.4914
Si 10.3044 -0.5757 2.4914
Si 9.5469 -1.6344 7.4743
Si 13.7817 1.5915 6.2488
Si 13.7817 1.5915 8.6999
Si 8.3639 -3.1780 0.5954
Si 8.3639 -3.1780 4.3875
Si 11.5836 -1.0452 0.5863
Si 11.5836 -1.0452 4.3966
Si 10.3580 -2.7194 5.5729
Si 10.3580 -2.7194 9.3758
Si 15.0324 0.0000 0.0000
Si 15.0324 0.0000 4.9829
Si 8.3639 -5.3918 1.3072
Si 8.3639 -5.3918 3.6757
Si 13.7817 -1.5915 1.2659
Si 13.7817 -1.5915 3.7170
```

Properties
Space-group type: Cmcm (63)
Energy above the most stable polymorph in this dataset in kJ/mol of formula units: 11



# 12
Material: Si
Method: DFT, GGA-PBEsol
State: optimized geometry

Cell and atoms, written as extended XYZ:
```
6
Lattice="5.1683 0.0000 0.0000 -2.5841 4.4759 0.0000 0.0000 0.0000 4.1295" Properties=species:S:1:pos:R:3 pbc="T T T"
Si 0.0000 1.5122 1.0324
Si -1.2746 3.7198 1.0324
Si 1.3096 0.7561 3.0971
Si 1.2746 3.7198 1.0324
Si 3.8587 0.7561 3.0971
Si 2.5841 2.9637 3.0971
```

Properties
Space-group type: P6_3/mmc (194)
Energy above the most stable polymorph in this dataset in kJ/mol of formula units: 33



# 13
Material: Si
Method: DFT, GGA-PBEsol
State: optimized geometry

Cell and atoms, written as extended XYZ:
```
68
Lattice="10.3613 0.0000 0.0000 -5.1807 8.9732 0.0000 0.0000 0.0000 16.9255" Properties=species:S:1:pos:R:3 pbc="T T T"
Si 0.0000 0.0000 3.0728
Si 0.0000 0.0000 5.3900
Si 0.0000 0.0000 11.5355
Si 0.0000 0.0000 13.8528
Si -1.1928 2.9686 1.0922
Si -1.1928 2.9686 7.3705
Si -3.2061 6.4559 1.0922
Si -3.2061 6.4559 7.3705
Si -2.0491 4.7991 12.6941
Si -1.9352 4.8648 2.2899
Si -1.9352 4.8648 6.1729
Si 0.0000 2.2197 10.8086
Si 0.0000 2.2197 14.5797
Si -3.2584 7.8633 10.8086
Si -3.2584 7.8633 14.5797
Si 0.0000 3.6348 12.6941
Si -2.0328 7.1558 12.6941
Si 1.9223 1.1098 2.3458
Si 1.9223 1.1098 6.1169
Si 1.1928 2.9686 1.0922
Si 1.1928 2.9686 7.3705
Si -2.0134 8.5218 1.0922
Si -2.0134 8.5218 7.3705
Si 3.1673 0.4513 9.5550
Si 3.1673 0.4513 15.8333
Si 1.9745 2.5173 9.5550
Si 1.9745 2.5173 15.8333
Si 0.0000 5.9821 3.0512
Si 0.0000 5.9821 5.4115
Si 3.1478 1.8174 4.2314
Si 1.9352 4.8648 2.2899
Si 1.9352 4.8648 6.1729
Si 0.0000 8.2167 2.2899
Si 0.0000 8.2167 6.1729
Si 2.0491 4.7991 12.6941
Si 0.0000 8.3482 12.6941
Si 5.1807 0.6250 4.2314
Si 3.1316 4.1741 4.2314
Si 5.1807 0.7564 10.7527
Si 5.1807 0.7564 14.6356
Si 3.2454 4.1084 10.7527
Si 3.2454 4.1084 14.6356
Si 2.0328 7.1558 12.6941
Si 5.1807 2.9911 11.5140
Si 5.1807 2.9911 13.8743
Si 3.2061 6.4559 1.0922
Si 3.2061 6.4559 7.3705
Si 2.0134 8.5218 1.0922
Si 2.0134 8.5218 7.3705
Si 7.1940 0.4513 9.5550
Si 7.1940 0.4513 15.8333
Si 3.9879 6.0045 9.5550
Si 3.9879 6.0045 15.8333
Si 3.2584 7.8633 10.8086
Si 3.2584 7.8633 14.5797
Si 7.2135 1.8174 4.2314
Si 5.1807 5.3384 4.2314
Si 8.4390 1.1098 2.3458
Si 8.4390 1.1098 6.1169
Si 5.1807 6.7535 2.3458
Si 5.1807 6.7535 6.1169
Si 7.1159 4.1084 10.7527
Si 7.1159 4.1084 14.6356
Si 7.2297 4.1741 4.2314
Si 8.3868 2.5173 9.5550
Si 8.3868 2.5173 15.8333
Si 6.3734 6.0045 9.5550
Si 6.3734 6.0045 15.8333
```

Properties
Space-group type: P6_3/mmc (194)
Energy above the most stable polymorph in this dataset in kJ/mol of formula units: 7



# 14
Material: Si
Method: DFT, GGA-PBEsol
State: optimized geometry

Cell and atoms, written as extended XYZ:
```
46
Lattice="10.1684 0.0000 0.0000 0.0000 10.1684 0.0000 0.0000 0.0000 10.1684" Properties=species:S:1:pos:R:3 pbc="T T T"
Si 0.0000 1.1902 3.1332
Si 0.0000 1.1902 7.0352
Si 0.0000 2.5421 5.0842
Si 0.0000 7.6263 5.0842
Si 0.0000 8.9782 3.1332
Si 0.0000 8.9782 7.0352
Si 1.1902 3.1332 0.0000
Si 1.1902 7.0352 0.0000
Si 1.8667 1.8667 1.8667
Si 1.8667 1.8667 8.3017
Si 1.8667 8.3017 1.8667
Si 1.8667 8.3017 8.3017
Si 1.9510 3.8940 5.0842
Si 1.9510 6.2744 5.0842
Si 2.5421 5.0842 0.0000
Si 3.1332 0.0000 1.1902
Si 3.1332 0.0000 8.9782
Si 3.2175 3.2175 3.2175
Si 3.2175 3.2175 6.9509
Si 3.2175 6.9509 3.2175
Si 3.2175 6.9509 6.9509
Si 3.8940 5.0842 1.9510
Si 3.8940 5.0842 8.2174
Si 5.0842 0.0000 2.5421
Si 5.0842 0.0000 7.6263
Si 5.0842 1.9510 3.8940
Si 5.0842 1.9510 6.2744
Si 5.0842 8.2174 3.8940
Si 5.0842 8.2174 6.2744
Si 6.2744 5.0842 1.9510
Si 6.2744 5.0842 8.2174
Si 6.9509 3.2175 3.2175
Si 6.9509 3.2175 6.9509
Si 6.9509 6.9509 3.2175
Si 6.9509 6.9509 6.9509
Si 7.0352 0.0000 1.1902
Si 7.0352 0.0000 8.9782
Si 7.6263 5.0842 0.0000
Si 8.2174 3.8940 5.0842
Si 8.2174 6.2744 5.0842
Si 8.3017 1.8667 1.8667
Si 8.3017 1.8667 8.3017
Si 8.3017 8.3017 1.8667
Si 8.3017 8.3017 8.3017
Si 8.9782 3.1332 0.0000
Si 8.9782 7.0352 0.0000
```

Properties
Space-group type: Pm-3n (223)
Energy above the most stable polymorph in this dataset in kJ/mol of formula units: 7



# 15
Material: Si
Method: DFT, GGA-PBEsol
State: optimized geometry

Cell and atoms, written as extended XYZ:
```
1
Lattice="2.6206 0.0000 0.0000 -1.3103 2.2695 0.0000 0.0000 0.0000 2.4837" Properties=species:S:1:pos:R:3 pbc="T T T"
Si 0.0000 0.0000 0.0000
```

Properties
Space-group type: P6/mmm (191)
Energy above the most stable polymorph in this dataset in kJ/mol of formula units: 19



# 16
Material: Si
Method: DFT, GGA-PBEsol
State: optimized geometry

Cell and atoms, written as extended XYZ:
```
40
Lattice="10.1503 0.0000 0.0000 -5.0751 8.7904 0.0000 0.0000 0.0000 10.3303" Properties=species:S:1:pos:R:3 pbc="T T T"
Si -1.2261 2.1237 0.0000
Si -1.9319 3.3462 1.9216
Si -1.9319 3.3462 8.4088
Si -3.1432 5.4442 1.9216
Si -3.1432 5.4442 8.4088
Si -3.8490 6.6667 0.0000
Si 0.0000 2.3327 5.1652
Si -3.0550 7.6241 5.1652
Si 0.0000 3.6784 3.2221
Si 0.0000 3.6784 7.1083
Si -1.8895 6.9512 3.2221
Si -1.8895 6.9512 7.1083
Si 2.4523 0.0000 0.0000
Si 1.2261 2.1237 0.0000
Si 2.0202 1.1663 5.1652
Si 0.0000 5.8603 4.0049
Si 0.0000 5.8603 6.3254
Si 3.8638 0.0000 1.9216
Si 3.8638 0.0000 8.4088
Si 1.9319 3.3462 1.9216
Si 1.9319 3.3462 8.4088
Si 3.1856 1.8392 3.2221
Si 3.1856 1.8392 7.1083
Si 1.8896 6.9512 3.2221
Si 1.8896 6.9512 7.1083
Si 6.2865 0.0000 1.9216
Si 6.2865 0.0000 8.4088
Si 3.1432 5.4442 1.9216
Si 3.1432 5.4442 8.4088
Si 5.0751 2.9301 4.0049
Si 5.0751 2.9301 6.3254
Si 3.0550 7.6241 5.1652
Si 7.6980 0.0000 0.0000
Si 3.8490 6.6667 0.0000
Si 6.9647 1.8392 3.2221
Si 6.9647 1.8392 7.1083
Si 5.0751 5.1120 3.2221
Si 5.0751 5.1120 7.1083
Si 8.1301 1.1663 5.1652
Si 5.0751 6.4577 5.1652
```

Properties
Space-group type: P6/mmm (191)
Energy above the most stable polymorph in this dataset in kJ/mol of formula units: 9



Number 1: E_form (uncorrected) -1.03 eV per atom. Number 2: E_form (uncorrected) -0.83 eV per atom. Number 3: E_form (uncorrected) -1.30 eV per atom. Number 4: E_form (uncorrected) -1.42 eV per atom. Number 5: E_form (uncorrected) -1.47 eV per atom. Number 6: E_form (uncorrected) -0.97 eV per atom. Number 7: E_form (uncorrected) -0.44 eV per atom. Number 8: E_form (uncorrected) 0.22 eV per atom. Number 9: E_form (uncorrected) -0.56 eV per atom. Number 10: E_form (uncorrected) 0.07 eV per atom. Number 11: E_form (uncorrected) 0.11 eV per atom. Number 12: E_form (uncorrected) 0.34 eV per atom. Number 13: E_form (uncorrected) 0.07 eV per atom. Number 14: E_form (uncorrected) 0.08 eV per atom. Number 15: E_form (uncorrected) 0.20 eV per atom. Number 16: E_form (uncorrected) 0.09 eV per atom.